Record 1
## ScBeB2Rh (PBE)

Data for a relaxed structure of ScBeB2Rh.

Unit cell a=3.644 b=4.540 c=3.644 alpha=90.00 beta=90.00 gamma=90.00
Atoms (fractional coordinates):
Sc 0.000 0.500 0.000
B 0.000 0.000 0.500
Rh 0.500 0.500 0.500
B 0.500 0.000 0.000
Be 0.000 0.000 0.000

## Properties
- uncorrected energy (eV/atom) = -5.414
- symmetry = No. 123
- formation energy (meV/atom) = 739
- energy relative to the lowest polymorph listed for this composition (meV/atom) = 0.0


Record 2
## La2ReTc (PBE)

Data for a relaxed structure of La2ReTc.

Unit cell a=4.074 b=3.210 c=8.290 alpha=73.68 beta=90.00 gamma=90.00
Atoms (fractional coordinates):
La 0.000 0.964 0.918
Re 0.000 0.504 0.573
Tc 0.500 0.753 0.678
La 0.500 0.279 0.331

## Properties
- uncorrected energy (eV/atom) = -7.906
- symmetry = No. 6
- formation energy (meV/atom) = 261
- energy relative to the lowest polymorph listed for this composition (meV/atom) = 113.1


Record 3
## NiTeRu2 (PBE)

Data for a relaxed structure of NiTeRu2.

Unit cell a=3.779 b=3.779 c=9.584 alpha=78.63 beta=78.63 gamma=90.00
Atoms (fractional coordinates):
Ru 0.875 0.833 0.750
Ru 0.375 0.417 0.750
Ru 0.583 0.125 0.250
Ni 0.250 0.750 0.500
Te 0.000 0.000 0.000
Ru 0.167 0.625 0.250
Ni 0.500 0.500 0.000
Te 0.750 0.250 0.500

## Properties
- raw formation energy (eV per atom) = 0.472
- uncorrected energy (eV/atom) = -6.397
- symmetry = No. 122


Record 4
## Li2Ni3Sn2 (PBE)

Data for a relaxed structure of Li2Ni3Sn2.

Unit cell a=4.286 b=4.286 c=7.012 alpha=89.98 beta=107.89 gamma=120.15
Atoms (fractional coordinates):
Sn 0.181 0.593 0.768
Sn 0.819 0.407 0.232
Ni 0.561 0.284 0.837
Ni 0.439 0.716 0.163
Ni 0.000 0.000 0.000
Li 0.720 0.860 0.578
Li 0.280 0.140 0.422

## Properties
- uncorrected energy (eV/atom) = -4.438
- symmetry = No. 2
- formation energy (meV/atom) = -270


Record 5
## KFeHgBi2 (PBE)

Data for a relaxed structure of KFeHgBi2.

Unit cell a=5.145 b=6.524 c=5.145 alpha=90.00 beta=90.00 gamma=90.00
Last column: magnetic moment on the atom in μB.
Atoms (fractional coordinates):
Bi 0.500 0.000 0.000  -0.08
K 0.000 0.500 0.000  0.00
Hg 0.500 0.500 0.500  0.01
Fe 0.000 0.000 0.000  2.44
Bi 0.000 0.000 0.500  0.00

## Properties
- uncorrected energy (eV/atom) = -3.282
- symmetry = No. 123
- formation energy (meV/atom) = 242


Record 6
## Li2MgAg2F6 (PBE)

Data for a relaxed structure of Li2MgAg2F6.

Unit cell a=5.212 b=5.212 c=6.218 alpha=100.25 beta=100.25 gamma=119.03
Atoms (fractional coordinates):
F 0.245 0.245 0.316
F 0.933 0.602 0.316
Mg 0.000 0.000 0.500
F 0.602 0.933 0.316
F 0.398 0.067 0.684
F 0.755 0.755 0.684
F 0.067 0.398 0.684
Li 0.335 0.665 0.500
Ag 0.177 0.823 0.000
Li 0.665 0.335 0.500
Ag 0.823 0.177 0.000

## Properties
- raw formation energy (eV per atom) = -2.368
- uncorrected energy (eV/atom) = -4.400
- symmetry = No. 12


Record 7
## Eu3Bi (PBE)

Data for a relaxed structure of Eu3Bi.

Unit cell a=5.152 b=5.159 c=5.164 alpha=90.00 beta=90.00 gamma=90.00
Last column: magnetic moment on the atom in μB.
Atoms (fractional coordinates):
Bi 0.000 0.500 0.417  -0.14
Eu 0.500 0.000 0.417  6.99
Eu 0.000 0.000 0.917  6.99
Eu 0.500 0.500 0.917  6.99

## Properties
- uncorrected energy (eV/atom) = -9.164
- symmetry = No. 123
- formation energy (meV/atom) = -488
- energy relative to the lowest polymorph listed for this composition (meV/atom) = 0.0


Record 8
## PuIn2Co (PBE)

Data for a relaxed structure of PuIn2Co.

Unit cell a=4.285 b=5.277 c=8.043 alpha=90.00 beta=90.00 gamma=113.05
Last column: magnetic moment on the atom in μB.
Atoms (fractional coordinates):
In 0.647 0.296 0.052  0.01
Pu 0.053 0.117 0.750  5.36
In 0.353 0.704 0.552  0.01
Co 0.790 0.562 0.750  -0.74
In 0.647 0.296 0.448  0.01
In 0.353 0.704 0.948  0.01
Pu 0.947 0.883 0.250  5.36
Co 0.210 0.438 0.250  -0.74

## Properties
- uncorrected energy (eV/atom) = -6.841
- symmetry = No. 11
- formation energy (meV/atom) = -113


Record 9
## PRhPbS2 (PBE)

Data for a relaxed structure of PRhPbS2.

Unit cell a=5.139 b=5.139 c=5.126 alpha=90.00 beta=90.00 gamma=90.00
Last column: magnetic moment on the atom in μB.
Atoms (fractional coordinates):
Pb 0.000 0.000 0.000  0.00
S 0.000 0.500 0.000  0.20
Rh 0.500 0.500 0.500  1.63
P 0.000 0.000 0.500  0.23
S 0.500 0.000 0.000  0.20

## Properties
- raw formation energy (eV per atom) = 1.471
- uncorrected energy (eV/atom) = -3.474
- symmetry = No. 123
- energy relative to the lowest polymorph listed for this composition (meV/atom) = 1345.9


Record 10
## Nd2Sm3 (PBE)

Data for a relaxed structure of Nd2Sm3.

Unit cell a=6.972 b=6.972 c=9.526 alpha=68.53 beta=68.53 gamma=60.00
Atoms (fractional coordinates):
Nd 0.310 0.310 0.071
Nd 0.810 0.810 0.571
Sm 0.750 0.250 0.750
Sm 0.250 0.750 0.250
Nd 0.690 0.690 0.929
Sm 0.250 0.750 0.750
Sm 0.750 0.750 0.250
Nd 0.190 0.190 0.429
Sm 0.750 0.250 0.250
Sm 0.250 0.250 0.750

## Properties
- uncorrected energy (eV/atom) = -4.465
- symmetry = No. 166
- formation energy (meV/atom) = 274
- energy relative to the lowest polymorph listed for this composition (meV/atom) = 200.6


Record 11
## Ce5BC6 (PBE)

Data for a relaxed structure of Ce5BC6.

Unit cell a=6.068 b=5.938 c=6.387 alpha=62.30 beta=88.48 gamma=86.74
Atoms (fractional coordinates):
C 0.310 0.494 0.357
B 0.000 0.000 0.000
C 0.310 0.851 0.643
Ce 0.000 0.661 0.679
C 0.159 0.190 0.000
Ce 0.500 0.843 0.314
Ce 0.000 0.339 0.321
Ce 0.500 0.157 0.686
C 0.690 0.506 0.643
C 0.690 0.149 0.357
Ce 0.500 0.500 0.000
C 0.841 0.810 0.000

## Properties
- uncorrected energy (eV/atom) = -7.395
- symmetry = No. 12
- formation energy (meV/atom) = 246


Record 12
## LaCdNiAg (PBE)

Data for a relaxed structure of LaCdNiAg.

Unit cell a=4.970 b=4.970 c=4.970 alpha=60.00 beta=60.00 gamma=60.00
Atoms (fractional coordinates):
Cd 0.750 0.750 0.750
Ag 0.000 0.000 0.000
La 0.250 0.250 0.250
Ni 0.500 0.500 0.500

## Properties
- uncorrected energy (eV/atom) = -3.775
- symmetry = No. 216
- formation energy (meV/atom) = -156